No. 1
A relaxed structure of Mg2AsH, computed with GGA-PBE. Values from VASP.

```
&SYSTEM
  ibrav = 0, nat = 4, ntyp = 3
/
ATOMIC_SPECIES
H 1.01 H.upf
As 74.92 As.upf
Mg 24.30 Mg.upf
CELL_PARAMETERS angstrom
4.069 -1.660 -0.825
0.682 -4.417 0.135
0.768 -2.260 -3.780
ATOMIC_POSITIONS angstrom
H 0.000 0.000 0.000
As 2.759 -4.169 -2.235
Mg 1.380 -2.084 -1.117
Mg 4.139 -6.253 -3.352
```

Computed properties:
As for the energy above the lowest structure with this stoichiometry: 0.225 eV per atom. The calculation puts the total magnetization at 0.00 μB per cell. The total energy comes out at -11.9 eV/f.u. As for the density of states at the Fermi level: 0.00 states/eV/atom.

***

No. 2
A relaxed structure of SrTaInGa2, computed with GGA-PBE. Values from VASP.

```
&SYSTEM
  ibrav = 0, nat = 5, ntyp = 4
/
ATOMIC_SPECIES
Sr 87.62 Sr.upf
In 114.82 In.upf
Ga 69.72 Ga.upf
Ta 180.95 Ta.upf
CELL_PARAMETERS angstrom
5.229 0.000 0.000
0.000 5.414 0.000
0.000 0.000 5.229
ATOMIC_POSITIONS angstrom
Sr 2.615 2.707 2.615
In 0.000 0.000 0.000
Ga 0.000 0.000 2.615
Ga 2.615 0.000 0.000
Ta 0.000 2.707 0.000
```

Computed properties:
The calculation puts the total magnetization at 1.82 μB per cell. The total energy comes out at -18.0 eV/f.u. For the formation energy, the calculation gives 0.871 eV per atom. As for the density of states at the Fermi level: 0.90 states/eV/atom.

***

No. 3
A relaxed structure of LaPuHf, computed with GGA-PBE. Values from VASP.

```
&SYSTEM
  ibrav = 0, nat = 3, ntyp = 3
/
ATOMIC_SPECIES
La 138.91 La.upf
Hf 178.49 Hf.upf
Pu 244.00 Pu.upf
CELL_PARAMETERS angstrom
-1.153 -1.962 2.419
1.604 -2.586 -1.332
5.742 3.850 3.580
ATOMIC_POSITIONS angstrom
La 0.036 0.009 0.025
Hf 2.327 -1.719 1.995
Pu 3.830 1.012 2.647
```

Computed properties:
As for the energy above the lowest structure with this stoichiometry: 0.005 eV per atom. The calculation puts the total magnetization at 5.40 μB per cell. The total energy comes out at -28.6 eV/f.u. For the formation energy, the calculation gives 0.207 eV per atom. As for the density of states at the Fermi level: 2.08 states/eV/atom.

***

No. 4
A relaxed structure of Tm5Ge2Bi2, computed with GGA-PBE. Values from VASP.

```
&SYSTEM
  ibrav = 0, nat = 18, ntyp = 3
/
ATOMIC_SPECIES
Tm 168.93 Tm.upf
Ge 72.64 Ge.upf
Bi 208.98 Bi.upf
CELL_PARAMETERS angstrom
7.920 0.000 0.000
0.000 7.026 -3.612
0.000 -0.041 8.559
ATOMIC_POSITIONS angstrom
Tm 0.000 0.000 0.000
Tm 3.960 3.513 -1.806
Tm 6.650 5.484 -0.734
Tm 1.270 3.238 0.421
Tm 2.690 6.751 -1.385
Tm 5.230 1.971 1.072
Tm 1.270 1.501 5.682
Tm 6.650 3.747 4.527
Tm 5.230 0.234 6.333
Tm 2.690 5.014 3.876
Ge 5.084 6.017 -3.093
Ge 2.836 1.009 -0.519
Ge 1.124 4.522 -2.324
Ge 6.796 2.504 -1.287
Bi 0.000 1.431 2.784
Bi 3.960 4.944 0.978
Bi 0.000 5.554 2.164
Bi 3.960 2.041 3.970
```

Computed properties:
The calculation puts the total magnetization at 0.00 μB per cell. The total energy comes out at -46.7 eV/f.u. For the formation energy, the calculation gives -0.816 eV per atom. As for the density of states at the Fermi level: 0.58 states/eV/atom.

***

No. 5
A relaxed structure of La3Sm8Tm2, computed with GGA-PBE. Values from VASP.

```
&SYSTEM
  ibrav = 0, nat = 26, ntyp = 3
/
ATOMIC_SPECIES
La 138.91 La.upf
Sm 150.36 Sm.upf
Tm 168.93 Tm.upf
CELL_PARAMETERS angstrom
13.763 1.288 1.362
-5.675 3.783 -1.020
1.726 -0.590 15.297
ATOMIC_POSITIONS angstrom
La 4.482 2.614 4.548
La 7.745 0.349 8.329
La 0.178 0.906 12.512
La 9.637 3.575 3.127
La 0.000 0.000 0.000
La 5.333 1.868 11.090
Sm 4.376 4.114 1.038
Sm 6.672 3.712 7.131
Sm -2.483 3.078 10.873
Sm 8.006 2.352 13.378
Sm 7.927 1.436 4.932
Sm 10.218 2.688 7.442
Sm -0.729 3.192 4.841
Sm 10.980 1.175 14.387
Sm -1.165 3.306 1.252
Sm 10.544 1.290 10.798
Sm 12.297 1.404 4.766
Sm 1.888 3.046 10.706
Sm 1.809 2.130 2.261
Sm -0.404 1.794 8.197
Sm 3.143 0.770 8.508
Sm 5.438 0.368 14.600
Tm 6.841 1.928 1.692
Tm 8.272 3.843 10.153
Tm 1.542 0.639 5.485
Tm 2.973 2.553 13.947
```

Computed properties:
As for the energy above the lowest structure with this stoichiometry: 0.000 eV per atom. The calculation puts the total magnetization at 0.00 μB per cell. The total energy comes out at -60.1 eV/f.u. For the formation energy, the calculation gives 0.105 eV per atom. As for the density of states at the Fermi level: 1.52 states/eV/atom.

***

No. 6
A relaxed structure of HoLuAlTl, computed with GGA-PBE. Values from VASP.

```
&SYSTEM
  ibrav = 0, nat = 4, ntyp = 4
/
ATOMIC_SPECIES
Tl 204.38 Tl.upf
Lu 174.97 Lu.upf
Ho 164.93 Ho.upf
Al 26.98 Al.upf
CELL_PARAMETERS angstrom
-4.469 -2.419 -1.054
-2.419 -2.714 3.705
-4.444 1.760 2.024
ATOMIC_POSITIONS angstrom
Tl 0.000 0.000 0.000
Lu -2.833 -0.843 1.169
Ho -8.499 -2.530 3.506
Al -5.666 -1.687 2.337
```

Computed properties:
The calculation puts the total magnetization at 0.00 μB per cell. The total energy comes out at -16.4 eV/f.u. For the formation energy, the calculation gives -0.302 eV per atom. As for the density of states at the Fermi level: 0.37 states/eV/atom.

***

No. 7
A relaxed structure of Th2PaC, computed with GGA-PBE. Values from VASP.

```
&SYSTEM
  ibrav = 0, nat = 4, ntyp = 3
/
ATOMIC_SPECIES
C 12.01 C.upf
Pa 231.04 Pa.upf
Th 232.04 Th.upf
CELL_PARAMETERS angstrom
-1.320 -1.784 2.639
-0.024 -3.447 -0.089
8.202 -1.914 5.061
ATOMIC_POSITIONS angstrom
C 3.429 -3.572 3.805
Pa 0.000 0.000 0.000
Th 5.257 -1.856 3.627
Th 1.600 -5.288 3.983
```

Computed properties:
The calculation puts the total magnetization at 0.00 μB per cell. The total energy comes out at -32.9 eV/f.u. For the formation energy, the calculation gives 0.166 eV per atom. As for the density of states at the Fermi level: 1.67 states/eV/atom.

***

No. 8
A relaxed structure of PuGaBiAu, computed with GGA-PBE. Values from VASP.

```
&SYSTEM
  ibrav = 0, nat = 4, ntyp = 4
/
ATOMIC_SPECIES
Au 196.97 Au.upf
Bi 208.98 Bi.upf
Ga 69.72 Ga.upf
Pu 244.00 Pu.upf
CELL_PARAMETERS angstrom
5.173 0.000 0.000
2.587 4.480 0.000
2.587 1.493 4.224
ATOMIC_POSITIONS angstrom
Au 2.587 1.493 1.056
Bi 7.760 4.480 3.168
Ga 5.173 2.987 2.112
Pu 0.000 0.000 0.000
```

Computed properties:
The calculation puts the total magnetization at 5.63 μB per cell. The total energy comes out at -25.2 eV/f.u. For the formation energy, the calculation gives -0.166 eV per atom. As for the density of states at the Fermi level: 3.06 states/eV/atom.